No. 1
A plane-wave DFT calculation with PBE-GGA was carried out for a relaxed Re2TcAu crystal.

Cell: 2.920 4.558 9.528 Å, 90.00 90.00 90.00°
Space group Cmm2 (No. 35)
One atom of each set of equivalent atoms:
Re (0.000, 0.000, 0.000)
Re (0.000, 0.500, 0.235)
Tc (0.000, 0.000, 0.468)
Au (0.000, 0.500, 0.733)

Output
Formation enthalpy at 0 K = 401.5 meV per atom
Crystal system = orthorhombic



No. 2
A plane-wave DFT calculation with PBE-GGA was carried out for a relaxed Re2TcAu crystal.

Cell: 3.950 3.965 7.866 Å, 90.00 90.00 90.00°
Space group Imm2 (No. 44)
One atom of each set of equivalent atoms:
Re (0.000, 0.000, 0.000)
Re (0.000, 0.500, 0.271)
Tc (0.000, 0.500, 0.771)
Au (0.000, 0.000, 0.517)

Output
Formation enthalpy at 0 K = 326.1 meV per atom
Crystal system = orthorhombic



No. 3
A plane-wave DFT calculation with PBE-GGA was carried out for a relaxed ReTc2Au crystal.

Cell: 2.770 2.770 8.081 Å, 90.00 90.00 90.00°
Space group P4/mmm (No. 123)
One atom of each set of equivalent atoms:
Re (0.000, 0.000, 0.000)
Tc (0.500, 0.500, 0.231)
Au (0.000, 0.000, 0.500)

Output
Formation enthalpy at 0 K = 189.0 meV per atom
Crystal system = tetragonal



No. 4
A plane-wave DFT calculation with PBE-GGA was carried out for a relaxed Re4TcAu crystal.

Cell: 7.297 7.297 7.297 Å, 90.00 90.00 90.00°
Space group F-43m (No. 216)
One atom of each set of equivalent atoms:
Re (0.124, 0.124, 0.376)
Tc (0.000, 0.000, 0.000)
Au (0.250, 0.250, 0.750)

Output
Formation enthalpy at 0 K = 504.5 meV per atom
Crystal system = cubic



Number 1: V 63.4 Å³/f.u.. Number 2: V 61.6 Å³/f.u.. Number 3: V 62.0 Å³/f.u.. Number 4: V 97.1 Å³/f.u..